[1]
FeC2S2N2: optimized geometry, PBE.

The structure in extended XYZ format:
```
7
Lattice="5.2598 -1.8422 0.0000 5.2598 1.8422 0.0000 -1.3944 0.0000 5.9597" Properties=species:S:1:pos:R:3 pbc="T T T"
N 0.2979 0.0000 4.9331
N 8.8273 0.0000 1.0266
C 1.4517 0.0000 4.6657
C 7.6735 0.0000 1.2940
Fe 0.0000 0.0000 0.0000
S 3.0478 0.0000 4.3279
S 6.0774 0.0000 1.6318
```

Results
The value obtained for the uncorrected energy is -0.2633 Ha/atom. For the volume, the calculation gives 115.5 Å³/cell.


[2]
NdSmI2O2: optimized geometry, PBE.

The structure in extended XYZ format:
```
6
Lattice="-3.5796 1.7702 -0.6632 0.6482 -0.1848 -3.9916 -4.0627 -8.3181 -0.2746" Properties=species:S:1:pos:R:3 pbc="T T T"
I -4.1819 -4.7687 -2.5110
I -1.3394 -2.7425 -0.0905
O -1.7976 0.8691 -0.3321
O 0.3163 -0.1084 -1.9963
Sm -1.9695 -0.2387 -2.3614
Nd -3.5503 -7.2691 -0.2399
```

Results
The value obtained for the uncorrected energy is -0.2361 Ha/atom. For the volume, the calculation gives 151.8 Å³/cell.


[3]
NpBeW: optimized geometry, PBE.

The structure in extended XYZ format:
```
3
Lattice="0.0000 2.9528 2.9528 2.9528 0.0000 2.9528 2.9528 2.9528 0.0000" Properties=species:S:1:pos:R:3 pbc="T T T"
W 4.4293 4.4293 4.4293
Np 1.4764 1.4764 1.4764
Be 0.0000 0.0000 0.0000
```

Results
As for the relative energy among the computed polymorphs: 0.0000 eV per atom. For the volume, the calculation gives 51.5 Å³/cell.


[4]
SmGd2TmTl2: optimized geometry, PBE.

The structure in extended XYZ format:
```
6
Lattice="-1.0900 -1.1066 5.1971 -3.3562 -1.7168 -3.9002 3.5112 -5.7537 -0.4887" Properties=species:S:1:pos:R:3 pbc="T T T"
Gd 2.6640 -4.3654 -0.3708
Gd 0.8472 -1.3883 -0.1179
Tl -0.0898 -4.1869 1.9203
Tl -2.6008 -1.5134 -0.8677
Tm -1.8454 -1.3100 2.1647
Sm -0.8452 -4.3903 -1.1121
```

Results
The value obtained for the uncorrected energy is -0.1518 Ha/atom. For the volume, the calculation gives 172.2 Å³/cell.


[5]
YCdPd2: optimized geometry, PBE.

The structure in extended XYZ format:
```
4
Lattice="0.0000 3.4016 3.4016 3.4016 0.0000 3.4016 3.4016 3.4016 0.0000" Properties=species:S:1:pos:R:3 pbc="T T T"
Cd 3.4016 3.4016 3.4016
Y 5.1024 5.1024 5.1024
Pd 0.0000 0.0000 0.0000
Pd 1.7008 1.7008 1.7008
```

Results
For the volume, the calculation gives 78.7 Å³/cell. The formation enthalpy at 0 K comes out at -0.52 eV/atom.


[6]
RbNbGa: optimized geometry, PBE.

The structure in extended XYZ format:
```
3
Lattice="2.3731 -0.0620 4.5463 -1.8410 2.7871 3.8920 -2.1963 -2.3281 4.0076" Properties=species:S:1:pos:R:3 pbc="T T T"
Rb -1.2481 0.2977 9.3344
Nb -0.4160 0.0992 3.1115
Ga 0.0000 0.0000 0.0000
```

Results
As for the relative energy among the computed polymorphs: 0.0000 eV per atom. For the volume, the calculation gives 95.4 Å³/cell.


[7]
SrLiGdS3: optimized geometry, PBE.

The structure in extended XYZ format:
```
12
Lattice="0.6345 0.1010 -6.7878 -4.3493 -0.1621 5.2483 -0.2253 10.3561 0.1331" Properties=species:S:1:pos:R:3 pbc="T T T"
Sr -3.2717 7.6708 2.3375
Sr -0.6685 2.6242 -3.7439
S -1.3126 5.9082 -2.3198
S 0.0753 7.8475 -5.7457
S -4.0154 2.4476 4.3392
S -2.5464 0.6591 0.8654
S -1.3937 9.6360 -2.2719
S -2.6275 4.3869 0.9133
Gd -0.1127 5.1780 0.0665
Gd 0.0000 0.0000 0.0000
Li -1.9113 7.7426 -0.9480
Li -2.0289 2.5524 -0.4584
```

Results
As for the relative energy among the computed polymorphs: 0.0203 eV per atom. For the volume, the calculation gives 271.4 Å³/cell.


[8]
PmSb: optimized geometry, PBE.

The structure in extended XYZ format:
```
2
Lattice="-1.1329 3.4404 -2.2102 -2.9752 -2.5433 1.6393 0.0048 2.1913 3.4085" Properties=species:S:1:pos:R:3 pbc="T T T"
Pm -1.7434 3.0893 1.6293
Sb -2.3599 -0.0009 1.2082
```

Results
As for the relative energy among the computed polymorphs: 0.2505 eV per atom. For the volume, the calculation gives 63.2 Å³/cell.


[9]
GdAlGaAu2: optimized geometry, PBE.

The structure in extended XYZ format:
```
10
Lattice="-4.0483 -0.5312 -1.5768 1.6231 -0.3479 -4.0500 0.8800 -10.4073 1.2466" Properties=species:S:1:pos:R:3 pbc="T T T"
Gd -1.8032 -2.8794 -0.4753
Gd 1.4706 -7.9674 -1.0914
Ga -0.7726 -5.6432 -2.1901
Ga 0.4400 -5.2036 0.6233
Al -1.2577 -9.3302 0.2974
Al 0.9251 -1.5166 -1.8642
Au 1.1307 -3.9487 -1.5728
Au 0.0000 0.0000 0.0000
Au -1.4634 -6.8981 0.0060
Au -1.2126 -0.4395 -2.8134
```

Results
As for the relative energy among the computed polymorphs: 0.0064 eV per atom. For the volume, the calculation gives 201.5 Å³/cell.


[10]
BaBi2Mo: optimized geometry, PBE.

The structure in extended XYZ format:
```
4
Lattice="4.5222 -2.0846 -2.1751 2.9922 -3.5444 2.8304 0.1434 -5.2264 -1.4803" Properties=species:S:1:pos:R:3 pbc="T T T"
Bi 5.7433 -8.1416 -0.6188
Bi 0.0000 0.0000 0.0000
Ba 1.9144 -2.7139 -0.2063
Mo 3.8289 -5.4277 -0.4125
```

Results
The value obtained for the uncorrected energy is -0.1678 Ha/atom. For the volume, the calculation gives 113.5 Å³/cell.


[11]
YNi2W: optimized geometry, PBE.

The structure in extended XYZ format:
```
4
Lattice="2.2151 1.2789 3.6173 -2.2151 1.2789 3.6173 0.0000 -2.5578 3.6173" Properties=species:S:1:pos:R:3 pbc="T T T"
Ni 0.0000 0.0000 5.4259
Ni 0.0000 0.0000 8.1389
W 0.0000 0.0000 2.7130
Y 0.0000 0.0000 0.0000
```

Results
For the volume, the calculation gives 61.5 Å³/cell. The formation enthalpy at 0 K comes out at 0.50 eV/atom.


[12]
GdErBr2N: optimized geometry, PBE.

The structure in extended XYZ format:
```
5
Lattice="3.6566 0.0000 0.0000 -1.8283 3.1667 0.0000 0.0000 0.0000 10.4531" Properties=species:S:1:pos:R:3 pbc="T T T"
Er 0.0000 0.0000 6.5144
N 0.0000 2.1112 5.3020
Br 1.8283 1.0556 8.4401
Br 0.0000 0.0000 1.9477
Gd 1.8283 1.0556 3.9285
```

Results
The value obtained for the uncorrected energy is -0.2169 Ha/atom. For the volume, the calculation gives 121.0 Å³/cell.


[13]
Ho2AlSi: optimized geometry, PBE.

The structure in extended XYZ format:
```
4
Lattice="3.9662 0.0000 0.0000 0.0000 2.1600 5.3787 0.0000 -2.1600 5.3787" Properties=species:S:1:pos:R:3 pbc="T T T"
Si 1.9831 0.0000 0.8079
Al 0.0000 0.0000 9.9693
Ho 0.0000 0.0000 6.8870
Ho 1.9831 0.0000 3.8506
```

Results
The value obtained for the uncorrected energy is -0.1921 Ha/atom. For the volume, the calculation gives 92.2 Å³/cell.


[14]
YTm2Mg3Al2Hg: optimized geometry, PBE.

The structure in extended XYZ format:
```
9
Lattice="4.4987 0.0000 0.0000 0.0000 6.3974 3.6694 0.0000 -6.3974 3.6694" Properties=species:S:1:pos:R:3 pbc="T T T"
Hg 0.0000 0.0000 7.3120
Al 2.2493 -2.1480 3.6763
Al 2.2493 2.1480 3.6763
Tm 0.0000 3.6658 2.1091
Tm 0.0000 -3.6658 2.1091
Mg 2.2493 0.0000 5.5425
Mg 2.2493 -1.5635 0.8968
Mg 2.2493 1.5635 0.8968
Y 0.0000 0.0000 3.1372
```

Results
The value obtained for the uncorrected energy is -0.1268 Ha/atom. For the volume, the calculation gives 211.2 Å³/cell.


[15]
Er3TmSn2B2: optimized geometry, PBE.

The structure in extended XYZ format:
```
8
Lattice="3.6146 0.0000 0.0000 -1.8073 3.1303 0.0000 0.0000 0.0000 16.3115" Properties=species:S:1:pos:R:3 pbc="T T T"
B 0.0000 0.0000 0.0093
B 0.0000 0.0000 8.1543
Tm 0.0000 2.0869 1.5060
Er 1.8073 1.0434 9.6681
Er 0.0000 2.0869 6.6403
Er 1.8073 1.0434 14.8094
Sn 1.8073 1.0434 4.0658
Sn 0.0000 2.0869 12.2371
```

Results
The value obtained for the uncorrected energy is -0.1915 Ha/atom. For the volume, the calculation gives 184.6 Å³/cell.


[16]
RbHfTe3Au: optimized geometry, PBE.

The structure in extended XYZ format:
```
24
Lattice="9.8169 0.0000 0.0000 0.0000 4.2669 0.0000 0.0000 0.0000 18.3059" Properties=species:S:1:pos:R:3 pbc="T T T"
Te 4.5285 1.0667 1.5207
Te 1.6137 3.2002 18.1617
Te 5.2884 3.2002 16.7852
Te 7.5144 3.2002 3.8664
Te 7.2110 1.0667 13.0193
Te 2.3025 1.0667 14.4395
Te 6.5222 3.2002 9.2971
Te 9.4370 1.0667 7.6322
Te 8.2032 1.0667 0.1442
Te 0.3799 3.2002 10.6737
Te 2.6060 3.2002 5.2866
Te 3.2947 1.0667 9.0088
Au 5.1726 1.0667 14.8855
Au 4.6443 3.2002 3.4204
Au 0.2641 1.0667 12.5733
Au 9.5528 3.2002 5.7326
Hf 6.6668 3.2002 1.2267
Hf 3.1502 1.0667 17.0792
Hf 1.7583 3.2002 7.9262
Hf 8.0586 1.0667 10.3797
Rb 5.7461 1.0667 6.3456
Rb 4.0708 3.2002 11.9603
Rb 8.9793 3.2002 15.4985
Rb 0.8376 1.0667 2.8074
```

Results
The value obtained for the uncorrected energy is -0.1689 Ha/atom. For the volume, the calculation gives 766.8 Å³/cell.


[17]
Er3Zr3CuTe2: optimized geometry, PBE.

The structure in extended XYZ format:
```
9
Lattice="8.0968 0.0000 0.0000 -4.0484 7.0121 0.0000 0.0000 0.0000 3.7209" Properties=species:S:1:pos:R:3 pbc="T T T"
Zr 1.6575 2.8708 0.0000
Zr -2.3910 4.1413 0.0000
Zr 4.7819 0.0000 0.0000
Cu 0.0000 0.0000 0.0000
Te 4.0484 2.3373 1.8604
Te 0.0000 4.6747 1.8604
Er 3.0466 5.2768 1.8604
Er 2.0037 0.0000 1.8604
Er -1.0019 1.7353 1.8604
```

Results
As for the relative energy among the computed polymorphs: 0.1093 eV per atom. For the volume, the calculation gives 211.3 Å³/cell.


[18]
NaLuNO: optimized geometry, PBE.

The structure in extended XYZ format:
```
8
Lattice="3.6746 0.0000 0.0000 0.0000 3.6746 0.0000 0.0000 0.0000 8.2373" Properties=species:S:1:pos:R:3 pbc="T T T"
O 2.7559 0.9186 0.0000
O 0.9186 2.7559 0.0000
Na 0.9186 2.7559 4.1187
Na 2.7559 0.9186 4.1187
N 0.9186 0.9186 5.6732
N 2.7559 2.7559 2.5641
Lu 2.7559 2.7559 7.1260
Lu 0.9186 0.9186 1.1113
```

Results
As for the relative energy among the computed polymorphs: 0.3311 eV per atom. For the volume, the calculation gives 111.2 Å³/cell.


[19]
LuTaFeSi: optimized geometry, PBE.

The structure in extended XYZ format:
```
4
Lattice="0.0000 3.1654 3.1654 3.1654 0.0000 3.1654 3.1654 3.1654 0.0000" Properties=species:S:1:pos:R:3 pbc="T T T"
Lu 3.1655 3.1655 3.1655
Ta 1.5827 1.5827 1.5827
Si 0.0000 0.0000 0.0000
Fe 4.7482 4.7482 4.7482
```

Results
As for the relative energy among the computed polymorphs: 0.0000 eV per atom. For the volume, the calculation gives 63.4 Å³/cell.


[20]
LaMgCdPt: optimized geometry, PBE.

The structure in extended XYZ format:
```
8
Lattice="-2.7404 4.7992 -0.7368 0.0856 -3.8857 3.9973 6.2491 4.1703 3.9200" Properties=species:S:1:pos:R:3 pbc="T T T"
Pt -0.3763 3.4777 1.5584
Pt 4.0241 1.6417 5.6558
Mg 3.6394 7.3674 3.7385
Mg 2.4376 -0.6268 4.9995
Cd 1.0848 5.9000 2.0695
Cd 0.0100 -2.4843 3.5432
La 0.3950 0.9382 2.8979
La 3.1624 4.1209 4.2596
```

Results
The value obtained for the uncorrected energy is -0.1502 Ha/atom. For the volume, the calculation gives 187.5 Å³/cell.